This record from Alexandria via LeMat-Bulk describes a relaxed Be2CoBiF crystal. The functional is GGA+U.

* DFT total energy: -17.42 eV/cell

abc: 4.057 4.057 4.749
angles: 90.00 90.00 90.00
Positions (direct):
Be 0.000 0.500 0.000
Be 0.500 0.000 0.000
Co 0.000 0.000 0.000
Bi 0.000 0.000 0.500
F 0.500 0.500 0.500